Crystalline Ba2BiH at its relaxed geometry. Source: Alexandria, functional PBE.

Unit cell a=5.2390 b=5.2390 c=9.8969 alpha=90.00 beta=90.00 gamma=90.00
Closest atoms and distances in Å follow each position.
Fractional positions:
Ba: 0.2500 0.2500 0.1454  1 H 2.68
Ba: 0.2500 0.7500 0.5000  4 H 2.75
Ba: 0.7500 0.2500 0.5000  4 H 2.75
Ba: 0.7500 0.7500 0.8546  1 H 2.68
Bi: 0.2500 0.2500 0.7744  1 H 3.54, 9 Ba 3.67-3.79
Bi: 0.7500 0.7500 0.2256  1 H 3.54, 9 Ba 3.67-3.79
H: 0.2500 0.2500 0.4164  5 Ba 2.68-2.75
H: 0.7500 0.7500 0.5836  5 Ba 2.68-2.75

Values from the calculation:
**SG**: No. 129
**Energy relative to the lowest polymorph listed for this composition**: 0.00 kcal/mol of atoms
**DFT total energy**: -3.58 eV per atom

---

Crystalline Ba5Bi3H at its relaxed geometry. Source: Alexandria, functional PBE.

Unit cell a=10.4224 b=10.4224 c=10.4224 alpha=124.88 beta=124.88 gamma=81.73
Closest atoms and distances in Å follow each position.
Fractional positions:
Ba: 0.0000 0.0000 0.0000  6 Bi 3.67-3.94
Ba: 0.0099 0.5099 0.8061  1 H 2.68
Ba: 0.2037 0.0099 0.5000  1 H 2.68
Ba: 0.2963 0.7963 0.8061  1 H 2.68
Ba: 0.4901 0.2963 0.5000  1 H 2.68
Ba: 0.5000 0.5000 0.0000  6 Bi 3.67-3.94
Ba: 0.5099 0.7037 0.5000  1 H 2.68
Ba: 0.7037 0.2037 0.1939  1 H 2.68
Ba: 0.7963 0.9901 0.5000  1 H 2.68
Ba: 0.9901 0.4901 0.1939  1 H 2.68
Bi: 0.1510 0.3490 0.5000  8 Ba 3.50-3.70
Bi: 0.2500 0.2500 0.0000  10 Ba 3.94-4.03
Bi: 0.3490 0.8490 0.1980  8 Ba 3.50-3.70
Bi: 0.6510 0.1510 0.8020  8 Ba 3.50-3.70
Bi: 0.7500 0.7500 0.0000  10 Ba 3.94-4.03
Bi: 0.8490 0.6510 0.5000  8 Ba 3.50-3.70
H: 0.2500 0.7500 0.5000  4 Ba 2.68
H: 0.7500 0.2500 0.5000  4 Ba 2.68

Values from the calculation:
**SG**: No. 140
**DFT total energy**: -3.61 eV per atom

---

Crystalline Ba4Bi2H at its relaxed geometry. Source: Alexandria, functional PBE.

Unit cell a=9.6421 b=7.9024 c=15.3531 alpha=90.00 beta=90.00 gamma=90.00
Closest atoms and distances in Å follow each position.
Fractional positions:
Ba: 0.0795 0.2500 0.0665  1 H 2.68
Ba: 0.1218 0.2500 0.5528  1 H 2.72
Ba: 0.2378 0.0034 0.3036  1 H 2.69
Ba: 0.2378 0.4966 0.3036  1 H 2.69
Ba: 0.2622 0.5034 0.8036  1 H 2.69
Ba: 0.2622 0.9966 0.8036  1 H 2.69
Ba: 0.3782 0.7500 0.0528  1 H 2.72
Ba: 0.4205 0.7500 0.5665  1 H 2.68
Ba: 0.5795 0.2500 0.4335  1 H 2.68
Ba: 0.6218 0.2500 0.9472  1 H 2.72
Ba: 0.7378 0.0034 0.1964  1 H 2.69
Ba: 0.7378 0.4966 0.1964  1 H 2.69
Ba: 0.7622 0.5034 0.6964  1 H 2.69
Ba: 0.7622 0.9966 0.6964  1 H 2.69
Ba: 0.8782 0.7500 0.4472  1 H 2.72
Ba: 0.9205 0.7500 0.9335  1 H 2.68
Bi: 0.0409 0.7500 0.1524  6 Ba 3.56-3.61, 1 H 3.92
Bi: 0.0715 0.7500 0.6492  6 Ba 3.58-3.64, 1 H 3.75
Bi: 0.4285 0.2500 0.1492  6 Ba 3.58-3.64, 1 H 3.75
Bi: 0.4591 0.2500 0.6524  6 Ba 3.56-3.61, 1 H 3.92
Bi: 0.5409 0.7500 0.3476  6 Ba 3.56-3.61, 1 H 3.92
Bi: 0.5715 0.7500 0.8508  6 Ba 3.58-3.64, 1 H 3.75
Bi: 0.9285 0.2500 0.3508  6 Ba 3.58-3.64, 1 H 3.75
Bi: 0.9591 0.2500 0.8476  6 Ba 3.56-3.61, 1 H 3.92
H: 0.1975 0.7500 0.9168  4 Ba 2.68-2.72
H: 0.3025 0.2500 0.4168  4 Ba 2.68-2.72
H: 0.6975 0.7500 0.5832  4 Ba 2.68-2.72
H: 0.8025 0.2500 0.0832  4 Ba 2.68-2.72

Values from the calculation:
**SG**: No. 62
**Energy relative to the lowest polymorph listed for this composition**: 0.48 kcal/mol of atoms
**DFT total energy**: -3.44 eV per atom

---

Crystalline Ba2BiH at its relaxed geometry. Source: Alexandria, functional PBE.

Unit cell a=7.0979 b=7.0979 c=7.0979 alpha=42.05 beta=42.05 gamma=42.05
Closest atoms and distances in Å follow each position.
Fractional positions:
Ba: 0.2387 0.2387 0.2387  3 H 3.25, 3 Bi 3.47
Ba: 0.7613 0.7613 0.7613  3 H 3.25, 3 Bi 3.47
Bi: 0.0000 0.0000 0.0000  6 Ba 3.47
H: 0.5000 0.5000 0.5000  6 Ba 3.25

Values from the calculation:
**SG**: No. 166
**Energy relative to the lowest polymorph listed for this composition**: 4.76 kcal/mol of atoms
**DFT total energy**: -3.37 eV per atom

---

Crystalline BaBiH3 at its relaxed geometry. Source: Alexandria, functional PBE.

Unit cell a=4.5424 b=4.5424 c=4.5424 alpha=90.00 beta=90.00 gamma=90.00
Closest atoms and distances in Å follow each position.
Fractional positions:
Ba: 0.0000 0.0000 0.0000  12 H 3.21
Bi: 0.5000 0.5000 0.5000  6 H 2.27
H: 0.0000 0.5000 0.5000  2 Bi 2.27
H: 0.5000 0.0000 0.5000  2 Bi 2.27
H: 0.5000 0.5000 0.0000  2 Bi 2.27

Values from the calculation:
**SG**: No. 221
**Energy relative to the lowest polymorph listed for this composition**: 0.00 kcal/mol of atoms
**DFT total energy**: -3.06 eV per atom

---

Crystalline BaBi2H at its relaxed geometry. Source: Alexandria, functional PBE.

Unit cell a=5.6660 b=5.6660 c=5.6660 alpha=60.00 beta=60.00 gamma=60.00
Closest atoms and distances in Å follow each position.
Fractional positions:
Ba: 0.0000 0.0000 0.0000  8 Bi 3.47
Bi: 0.2500 0.2500 0.2500  4 Ba 3.47, 4 H 3.47
Bi: 0.7500 0.7500 0.7500  4 Ba 3.47, 4 H 3.47
H: 0.5000 0.5000 0.5000  8 Bi 3.47

Values from the calculation:
**SG**: No. 225
**Energy relative to the lowest polymorph listed for this composition**: 11.77 kcal/mol of atoms
**DFT total energy**: -2.89 eV per atom

---

Crystalline BaBi3H at its relaxed geometry. Source: Alexandria, functional PBE.

Unit cell a=9.2545 b=6.7959 c=13.5296 alpha=90.00 beta=129.92 gamma=90.00
Closest atoms and distances in Å follow each position.
Fractional positions:
Ba: 0.2379 0.2011 0.3965  2 H 2.65-2.66
Ba: 0.2379 0.2989 0.8965  2 H 2.65-2.66
Ba: 0.7621 0.7011 0.1035  2 H 2.65-2.66
Ba: 0.7621 0.7989 0.6035  2 H 2.65-2.66
Bi: 0.0163 0.7144 0.9588  3 Bi 3.20-3.36, 1 H 3.45
Bi: 0.0163 0.7856 0.4588  3 Bi 3.20-3.36, 1 H 3.45
Bi: 0.2685 0.7032 0.3030  1 H 1.97
Bi: 0.2685 0.7968 0.8030  1 H 1.97
Bi: 0.3609 0.0206 0.1821  3 Bi 3.14-3.36
Bi: 0.3609 0.4794 0.6821  3 Bi 3.14-3.36
Bi: 0.6391 0.5206 0.3179  3 Bi 3.14-3.36
Bi: 0.6391 0.9794 0.8179  3 Bi 3.14-3.36
Bi: 0.7315 0.2032 0.1970  1 H 1.97
Bi: 0.7315 0.2968 0.6970  1 H 1.97
Bi: 0.9837 0.2144 0.5412  3 Bi 3.20-3.36, 1 H 3.45
Bi: 0.9837 0.2856 0.0412  3 Bi 3.20-3.36, 1 H 3.45
H: 0.3943 0.6553 0.9670  1 Bi 1.97
H: 0.3943 0.8447 0.4670  1 Bi 1.97
H: 0.6057 0.1553 0.5330  1 Bi 1.97
H: 0.6057 0.3447 0.0330  1 Bi 1.97

Values from the calculation:
**SG**: No. 14
**Energy relative to the lowest polymorph listed for this composition**: 0.00 kcal/mol of atoms
**DFT total energy**: -3.61 eV per atom

---

Crystalline Ba2BiH at its relaxed geometry. Source: Alexandria, functional PBE.

Unit cell a=8.9156 b=8.9156 c=8.9156 alpha=135.59 beta=135.59 gamma=64.61
Closest atoms and distances in Å follow each position.
Fractional positions:
Ba: 0.0481 0.6250 0.9231  2 H 2.78
Ba: 0.3750 0.2981 0.4231  2 H 2.78
Ba: 0.7019 0.1250 0.0769  2 H 2.78
Ba: 0.8750 0.9519 0.5769  2 H 2.78
Bi: 0.2500 0.7500 0.5000  4 Ba 3.35
Bi: 0.5000 0.5000 0.0000  4 Ba 3.35
H: 0.0000 0.0000 0.0000  4 Ba 2.78
H: 0.7500 0.2500 0.5000  4 Ba 2.78

Values from the calculation:
**SG**: No. 122
**Energy relative to the lowest polymorph listed for this composition**: 7.34 kcal/mol of atoms
**DFT total energy**: -3.26 eV per atom

---

Crystalline BaInBiH2 at its relaxed geometry. Source: Alexandria, functional PBE.

Unit cell a=6.7415 b=6.7415 c=8.0145 alpha=90.00 beta=90.00 gamma=141.41
Closest atoms and distances in Å follow each position.
Fractional positions:
Ba: 0.2181 0.7819 0.7500  6 H 2.77-2.94
Ba: 0.7819 0.2181 0.2500  6 H 2.77-2.94
In: 0.5000 0.5000 0.0000  2 H 2.13
In: 0.5000 0.5000 0.5000  2 H 2.13
Bi: 0.0594 0.9406 0.2500  4 In 3.09
Bi: 0.9406 0.0594 0.7500  4 In 3.09
H: 0.3378 0.6622 0.0644  1 In 2.13
H: 0.3378 0.6622 0.4356  1 In 2.13
H: 0.6622 0.3378 0.5644  1 In 2.13
H: 0.6622 0.3378 0.9356  1 In 2.13

Values from the calculation:
**SG**: No. 63
**DFT total energy**: -3.30 eV per atom

---

Crystalline BaIn2BiH at its relaxed geometry. Source: Alexandria, functional PBE.

Unit cell a=5.1196 b=5.1196 c=5.1696 alpha=90.00 beta=90.00 gamma=90.00
Closest atoms and distances in Å follow each position.
Fractional positions:
Ba: 0.0000 0.0000 0.0000  2 H 2.58
In: 0.0000 0.5000 0.5000  2 H 2.56
In: 0.5000 0.0000 0.5000  2 H 2.56
Bi: 0.5000 0.5000 0.0000  4 Ba 3.62, 8 In 3.64
H: 0.0000 0.0000 0.5000  4 In 2.56, 2 Ba 2.58

Values from the calculation:
**SG**: No. 123
**DFT total energy**: -3.15 eV per atom

---

Crystalline Ba2InBiH at its relaxed geometry. Source: Alexandria, functional PBE.

Unit cell a=5.6374 b=5.6374 c=4.8981 alpha=90.00 beta=90.00 gamma=90.00
Closest atoms and distances in Å follow each position.
Fractional positions:
Ba: 0.0000 0.5000 0.0000  2 H 2.82
Ba: 0.5000 0.0000 0.0000  2 H 2.82
In: 0.0000 0.0000 0.5000  2 H 2.45
Bi: 0.5000 0.5000 0.5000  8 Ba 3.73, 4 In 3.99
H: 0.0000 0.0000 0.0000  2 In 2.45

Values from the calculation:
**SG**: No. 123
**DFT total energy**: -3.26 eV per atom

---

Crystalline Ba2InBi2H2 at its relaxed geometry. Source: Alexandria, functional PBE.

Unit cell a=9.1865 b=9.1865 c=9.1865 alpha=149.67 beta=149.67 gamma=43.43
Closest atoms and distances in Å follow each position.
Fractional positions:
Ba: 0.1167 0.1167 0.0000  4 H 3.12
Ba: 0.8833 0.8833 0.0000  4 H 3.12
In: 0.5000 0.5000 0.0000  4 H 2.40
Bi: 0.3244 0.3244 0.0000  1 In 3.00
Bi: 0.6756 0.6756 0.0000  1 In 3.00
H: 0.0000 0.5000 0.5000  2 In 2.40
H: 0.5000 0.0000 0.5000  2 In 2.40

Values from the calculation:
**SG**: No. 139
**DFT total energy**: -3.31 eV per atom